TiMoO3: relaxed, GGA+U.

- density (g/cm³) = 5.532
- electronic total energy (eV/cell) = -38.49
- total magnetic moment (μB per cell) = 4.0

Unit cell a=3.861 b=3.861 c=3.861 alpha=90.00 beta=90.00 gamma=90.00
Space group Pm-3m (No. 221)
Inequivalent atoms, fractional coordinates:
Ti  0.000  0.000  0.000 [1 per cell]
Mo  0.500  0.500  0.500 [1 per cell]
O  0.000  0.000  0.500 [3 per cell]